Density functional theory data (PBE+U) for crystalline GaCoNF2 at its relaxed geometry.

abc: 3.858 3.858 3.964
angles: 90.00 90.00 90.00
Fractional positions:
Ga 0.000 0.000 0.000
Co 0.500 0.500 0.500
N 0.000 0.000 0.500
F 0.000 0.500 0.000
F 0.500 0.000 0.000

Calculated total energy   -23.28 eV for the cell shown
Volume   11.80 Å³ per atom
Space group   P4/mmm
E above lowest polymorph   0 meV/atom
Fermi-level density of states   0.61 states/eV/f.u.